Ba4POs | PBE-GGA | optimized geometry

a b c (Å): 6.7324 6.7324 6.7324
angles (deg): 60.00 60.00 60.00
Closest atoms and distances in Å follow each position.
Positions (direct):
Os: 0.7500 0.7500 0.7500  12 Ba 3.95, 4 P 4.12
Ba: 0.3749 0.3749 0.3749  6 Ba 3.36-3.37
Ba: 0.3749 0.8752 0.3749  6 Ba 3.36-3.37
Ba: 0.3749 0.3749 0.8752  6 Ba 3.36-3.37
Ba: 0.8752 0.3749 0.3749  6 Ba 3.36-3.37
P: 0.0000 0.0000 0.0000  12 Ba 3.95, 4 Os 4.12

Computed properties:
total energy = -17.3 eV per cell
energy relative to the elements = 1.164 eV/atom
calculated volume = 35.96 Å³ per atom
calculated density = 5.93 g/cm³

***

TbTh2Tc | PBE-GGA | optimized geometry

a b c (Å): 3.8335 3.8335 10.4645
angles (deg): 79.45 79.45 60.00
Closest atoms and distances in Å follow each position.
Positions (direct):
Th: 0.8882 0.8882 0.3355  3 Tc 2.78
Th: 0.1118 0.1118 0.6645  3 Tc 2.78
Tc: 0.5000 0.5000 0.5000  6 Th 2.78
Tb: 0.0000 0.0000 0.0000  2 Th 3.43, 6 Tb 3.83

Computed properties:
total energy = -28.6 eV per cell
distance to the lowest polymorph of the same formula = 434 meV/atom
energy relative to the elements = 0.314 eV/atom
calculated volume = 32.54 Å³ per atom
calculated density = 9.20 g/cm³

***

CrNi2AgBr | PBE-GGA | optimized geometry

a b c (Å): 4.3845 5.1566 4.3845
angles (deg): 90.00 90.00 90.00
Closest atoms and distances in Å follow each position.
Positions (direct):
Ni: 0.5000 0.0000 0.0000  2 Br 2.19
Ni: 0.0000 0.0000 0.5000  2 Br 2.19
Br: 0.0000 0.0000 0.0000  4 Ni 2.19
Ag: 0.0000 0.5000 0.0000  2 Br 2.58
Cr: 0.5000 0.5000 0.5000  4 Ag 3.10, 8 Ni 3.38

Computed properties:
total energy = -20.2 eV per cell
uncorrected formation energy = 1.0931 eV/atom
calculated volume = 19.83 Å³ per atom
calculated density = 5.98 g/cm³

***

KNi2Hg | PBE-GGA | optimized geometry

a b c (Å): 4.3470 4.3470 6.4419
angles (deg): 70.43 70.43 60.04
Closest atoms and distances in Å follow each position.
Positions (direct):
Ni: 0.0696 0.0696 0.7923  3 Ni 2.51, 3 Hg 2.59
Ni: 0.7409 0.7409 0.7789  3 Ni 2.51, 3 Hg 2.57
Hg: 0.4386 0.4386 0.6852  6 Ni 2.57-2.59
K: 0.2509 0.2509 0.2436  1 Ni 3.26, 4 Hg 3.32-3.63

Computed properties:
total energy = -12.0 eV per cell
energy relative to the elements = 0.230 eV/atom
calculated volume = 24.31 Å³ per atom
calculated density = 6.10 g/cm³